[1]
The following is a DFT calculation (PBE) of crystalline Ta3Se at its relaxed geometry.

a b c (Å): 3.4808 4.9242 8.4287
angles (deg): 90.00 90.00 90.00
Space group Cmmm (No. 65)
One atom of each set of equivalent atoms:
1 Ta 0.0000 0.0000 0.0000
2 Ta 0.0000 0.5000 0.2619
3 Se 0.0000 0.0000 0.5000

Values from the calculation:
Energy above the lowest structure with this stoichiometry: 0 meV per atom

[2]
The following is a DFT calculation (PBE) of crystalline Ta2Se at its relaxed geometry.

a b c (Å): 3.3925 3.3925 10.3283
angles (deg): 90.00 90.00 90.00
Space group P4/nmm (No. 129, origin choice 2)
One atom of each set of equivalent atoms:
1 Ta 0.2500 0.2500 0.0736
2 Ta 0.2500 0.2500 0.7681
3 Se 0.2500 0.2500 0.3516

Values from the calculation:
Final energy: -9.515 eV/atom

[3]
The following is a DFT calculation (PBE) of crystalline Ta4Se3 at its relaxed geometry.

a b c (Å): 5.3172 5.3172 5.2073
angles (deg): 90.00 90.00 120.00
Space group P6/mmm (No. 191)
One atom of each set of equivalent atoms:
1 Ta 0.0000 0.0000 0.2415
2 Ta 0.3333 0.6667 0.0000
3 Se 0.0000 0.5000 0.5000

Values from the calculation:
Energy above the lowest structure with this stoichiometry: 820 meV per atom

[4]
The following is a DFT calculation (PBE) of crystalline TaSe3 at its relaxed geometry.

a b c (Å): 3.3441 3.3441 27.5788
angles (deg): 90.00 90.00 120.00
Space group R-3m (No. 166, hexagonal axes)
One atom of each set of equivalent atoms:
1 Ta 0.0000 0.0000 0.0000
2 Se 0.0000 0.0000 0.2702
3 Se 0.0000 0.0000 0.5000

Values from the calculation:
Final energy: -5.897 eV/atom